This record from the Alexandria database describes an optimized crystal structure of CsTmP4H12O18. The functional is GGA-PBE.

Cell: 7.6117 7.6117 15.1826 Å, 90.70 90.70 109.92°
Closest atoms and distances in Å follow each position.
Atoms (fractional coordinates):
O 0.2083 0.1610 0.8404  1 P 1.50
O 0.7917 0.8390 0.1596  1 P 1.50
O 0.6306 0.0248 0.8833  1 P 1.51
O 0.8706 0.8658 0.8442  1 P 1.50
O 0.9539 0.1480 0.9514  2 P 1.62-1.63
O 0.8520 0.0461 0.5486  2 P 1.62-1.63
O 0.1616 0.2756 0.5041  2 P 1.61-1.63
O 0.7244 0.8384 0.9959  2 P 1.61-1.63
O 0.4472 0.2303 0.4392  1 P 1.49
O 0.1480 0.9539 0.4514  2 P 1.62-1.63
O 0.1610 0.2083 0.3404  1 P 1.50
O 0.4348 0.0213 0.7260  2 H 0.98-1.01
O 0.5528 0.7697 0.5608  1 P 1.49
O 0.5652 0.9787 0.2740  2 H 0.98-1.01
O 0.2647 0.7993 0.8673  2 H 0.99
O 0.4119 0.7091 0.3874  2 H 0.99
O 0.7697 0.5528 0.0608  1 P 1.49
O 0.8384 0.7244 0.4959  2 P 1.61-1.63
O 0.7993 0.2647 0.3673  2 H 0.99
O 0.2303 0.4472 0.9392  1 P 1.49
O 0.0461 0.8520 0.0486  2 P 1.62-1.63
O 0.8390 0.7917 0.6596  1 P 1.50
O 0.1342 0.1294 0.6558  1 P 1.50
O 0.2909 0.5881 0.1126  2 H 0.99
O 0.7353 0.2007 0.1327  2 H 0.99
O 0.3694 0.9752 0.1167  1 P 1.51
O 0.9787 0.5652 0.7740  2 H 0.98-1.01
O 0.0213 0.4348 0.2260  2 H 0.98-1.01
O 0.2756 0.1616 0.0041  2 P 1.61-1.63
O 0.0248 0.6306 0.3833  1 P 1.51
O 0.2007 0.7353 0.6327  2 H 0.99
O 0.1294 0.1342 0.1558  1 P 1.50
O 0.5881 0.2909 0.6126  2 H 0.99
O 0.9752 0.3694 0.6167  1 P 1.51
O 0.8658 0.8706 0.3442  1 P 1.50
O 0.7091 0.4119 0.8874  2 H 0.99
H 0.0371 0.5236 0.2756  1 O 0.98
H 0.7243 0.3213 0.6074  1 O 0.99
H 0.2672 0.5369 0.0516  1 O 0.99
H 0.8766 0.3906 0.3892  1 O 0.99
H 0.1234 0.6094 0.6108  1 O 0.99
H 0.8811 0.5063 0.8194  1 O 1.01
H 0.3213 0.7243 0.1074  1 O 0.99
H 0.5236 0.0371 0.7756  1 O 0.98
H 0.7683 0.3270 0.1080  1 O 0.99
H 0.5369 0.2672 0.5516  1 O 0.99
H 0.4631 0.7328 0.4484  1 O 0.99
H 0.6787 0.2757 0.8926  1 O 0.99
H 0.2317 0.6730 0.8920  1 O 0.99
H 0.6094 0.1234 0.1108  1 O 0.99
H 0.5063 0.8811 0.3194  1 O 1.01
H 0.4764 0.9629 0.2244  1 O 0.98
H 0.4937 0.1189 0.6806  1 O 1.01
H 0.1189 0.4937 0.1806  1 O 1.01
H 0.7328 0.4631 0.9484  1 O 0.99
H 0.2757 0.6787 0.3926  1 O 0.99
H 0.3906 0.8766 0.8892  1 O 0.99
H 0.9629 0.4764 0.7244  1 O 0.98
H 0.6730 0.2317 0.3920  1 O 0.99
H 0.3270 0.7683 0.6080  1 O 0.99
P 0.1734 0.2400 0.9269  4 O 1.49-1.63
P 0.2400 0.1734 0.4269  4 O 1.49-1.63
P 0.7600 0.8266 0.5731  4 O 1.49-1.63
P 0.7924 0.9655 0.9108  4 O 1.50-1.62
P 0.2076 0.0345 0.0892  4 O 1.50-1.62
P 0.8266 0.7600 0.0731  4 O 1.49-1.63
P 0.9655 0.7924 0.4108  4 O 1.50-1.62
P 0.0345 0.2076 0.5892  4 O 1.50-1.62
Tm 0.1106 0.8894 0.7500  8 O 2.29-2.36
Tm 0.8894 0.1106 0.2500  8 O 2.29-2.36
Cs 0.4694 0.5306 0.7500  8 O 3.09-3.45, 4 H 3.24-3.36
Cs 0.5306 0.4694 0.2500  8 O 3.09-3.45, 4 H 3.24-3.36

Properties
- Final energy: -6.11 eV/atom
- Space group: C2/c (15)
- DOS at the Fermi energy: 0.000 states/eV/cell


This record from the Alexandria database describes an optimized crystal structure of Li4NdHg8. The functional is GGA-PBE.

Cell: 5.5875 7.5207 7.5207 Å, 82.07 68.19 68.19°
Closest atoms and distances in Å follow each position.
Atoms (fractional coordinates):
Hg 0.3367 0.6633 0.6633  4 Li 2.96, 5 Hg 3.04-3.25
Hg 0.0000 0.3367 0.6633  4 Li 2.96, 5 Hg 3.04-3.25
Hg 0.7142 0.7858 0.7858  4 Li 2.86, 4 Hg 2.99-3.04
Hg 0.2858 0.2142 0.2142  4 Li 2.86, 4 Hg 2.99-3.04
Hg 0.5000 0.7858 0.2142  4 Li 2.86, 4 Hg 2.99-3.04
Hg 0.6633 0.3367 0.3367  4 Li 2.96, 5 Hg 3.04-3.25
Hg 0.0000 0.6633 0.3367  4 Li 2.96, 5 Hg 3.04-3.25
Hg 0.5000 0.2142 0.7858  4 Li 2.86, 4 Hg 2.99-3.04
Li 0.0000 0.0000 0.5000  2 Li 2.79, 8 Hg 2.86-2.96
Li 0.5000 0.0000 0.5000  2 Li 2.79, 8 Hg 2.86-2.96
Li 0.5000 0.5000 0.0000  2 Li 2.79, 8 Hg 2.86-2.96
Li 0.0000 0.5000 0.0000  2 Li 2.79, 8 Hg 2.86-2.96
Nd 0.0000 0.0000 0.0000  12 Hg 3.33-3.50

Properties
- Final energy: -1.44 eV/atom
- Energy relative to the elements: -3.85 eV/f.u.
- Space group: I4/mmm (139)
- DOS at the Fermi energy: 6.355 states/eV/cell


This record from the Alexandria database describes an optimized crystal structure of Pm6Si2RuCl3. The functional is GGA-PBE.

Cell: 4.1261 8.6898 9.4911 Å, 104.13 102.55 90.00°
Closest atoms and distances in Å follow each position.
Atoms (fractional coordinates):
Pm 0.9953 0.7738 0.9907  2 Ru 2.84, 1 Si 2.89, 2 Cl 3.17
Pm 0.0047 0.2262 0.0093  2 Ru 2.84, 1 Si 2.89, 2 Cl 3.17
Pm 0.3263 0.4275 0.6527  3 Si 2.87-2.89, 3 Cl 3.09-3.12
Pm 0.3486 0.9005 0.6973  1 Ru 2.72, 2 Si 2.90
Pm 0.6514 0.0995 0.3027  1 Ru 2.72, 2 Si 2.90
Pm 0.6737 0.5725 0.3473  3 Si 2.87-2.89, 3 Cl 3.09-3.12
Si 0.1652 0.3394 0.3304  6 Pm 2.87-2.90
Si 0.8348 0.6606 0.6696  6 Pm 2.87-2.90
Cl 0.8259 0.1628 0.6519  6 Pm 3.09-3.22
Cl 0.1741 0.8372 0.3481  6 Pm 3.09-3.22
Cl 0.5000 0.5000 0.0000  6 Pm 3.12-3.17
Ru 0.5000 0.0000 0.0000  6 Pm 2.72-2.84

Properties
- Final energy: -5.58 eV/atom
- Space group: C2/m (12)
- DOS at the Fermi energy: 6.517 states/eV/cell
- Formation energy from raw total energies: -1062 meV per atom